1.
A relaxed structure of Ba3H12Au5, computed with PBE. Values from VASP.

Cell and atoms, written as Quantum ESPRESSO input:
```
&SYSTEM
  ibrav = 0, nat = 80, ntyp = 3
/
ATOMIC_SPECIES
Ba 137.33 Ba.upf
H 1.01 H.upf
Au 196.97 Au.upf
ATOMIC_POSITIONS crystal
Ba 0.125 0.250 0.375
Ba 0.125 0.375 0.750
Ba 0.250 0.375 0.125
Ba 0.250 0.875 0.625
Ba 0.375 0.125 0.250
Ba 0.375 0.750 0.125
Ba 0.625 0.250 0.875
Ba 0.625 0.875 0.750
Ba 0.750 0.125 0.375
Ba 0.750 0.625 0.875
Ba 0.875 0.625 0.250
Ba 0.875 0.750 0.625
H 0.011 0.677 0.104
H 0.011 0.833 0.907
H 0.074 0.667 0.677
H 0.074 0.907 0.396
H 0.093 0.604 0.926
H 0.093 0.989 0.167
H 0.104 0.011 0.677
H 0.104 0.593 0.426
H 0.167 0.093 0.989
H 0.167 0.574 0.177
H 0.177 0.167 0.574
H 0.177 0.511 0.604
H 0.323 0.896 0.989
H 0.323 0.926 0.333
H 0.333 0.323 0.926
H 0.333 0.511 0.407
H 0.396 0.074 0.907
H 0.396 0.823 0.489
H 0.407 0.333 0.511
H 0.407 0.574 0.896
H 0.426 0.104 0.593
H 0.426 0.823 0.833
H 0.489 0.396 0.823
H 0.489 0.593 0.667
H 0.511 0.407 0.333
H 0.511 0.604 0.177
H 0.574 0.177 0.167
H 0.574 0.896 0.407
H 0.593 0.426 0.104
H 0.593 0.667 0.489
H 0.604 0.177 0.511
H 0.604 0.926 0.093
H 0.667 0.489 0.593
H 0.667 0.677 0.074
H 0.677 0.074 0.667
H 0.677 0.104 0.011
H 0.823 0.489 0.396
H 0.823 0.833 0.426
H 0.833 0.426 0.823
H 0.833 0.907 0.011
H 0.896 0.407 0.574
H 0.896 0.989 0.323
H 0.907 0.011 0.833
H 0.907 0.396 0.074
H 0.926 0.093 0.604
H 0.926 0.333 0.323
H 0.989 0.167 0.093
H 0.989 0.323 0.896
Au 0.000 0.000 0.000
Au 0.000 0.000 0.500
Au 0.000 0.500 0.000
Au 0.000 0.500 0.500
Au 0.125 0.750 0.875
Au 0.125 0.875 0.250
Au 0.250 0.125 0.875
Au 0.250 0.625 0.375
Au 0.375 0.250 0.625
Au 0.375 0.625 0.750
Au 0.500 0.000 0.000
Au 0.500 0.000 0.500
Au 0.500 0.500 0.000
Au 0.500 0.500 0.500
Au 0.625 0.375 0.250
Au 0.625 0.750 0.375
Au 0.750 0.375 0.625
Au 0.750 0.875 0.125
Au 0.875 0.125 0.750
Au 0.875 0.250 0.125
CELL_PARAMETERS angstrom
-6.556 6.556 6.556
6.556 -6.556 6.556
6.556 6.556 -6.556
```

## Properties
**D(E_F)**: 8.115 states/eV/f.u.
**Volume**: 1127 Å³/cell
**Symmetry**: Ia-3d, No. 230
**VASP energy**: -3.21 eV per atom

---

2.
A relaxed structure of HoMg4Cd2, computed with PBE. Values from VASP.

Cell and atoms, written as Quantum ESPRESSO input:
```
&SYSTEM
  ibrav = 0, nat = 14, ntyp = 3
/
ATOMIC_SPECIES
Ho 164.93 Ho.upf
Mg 24.30 Mg.upf
Cd 112.41 Cd.upf
ATOMIC_POSITIONS crystal
Ho 0.000 0.000 0.000
Ho 0.500 0.500 0.500
Mg 0.103 0.351 0.500
Mg 0.149 0.603 0.000
Mg 0.351 0.103 0.500
Mg 0.397 0.851 0.000
Mg 0.603 0.149 0.000
Mg 0.649 0.897 0.500
Mg 0.851 0.397 0.000
Mg 0.897 0.649 0.500
Cd 0.204 0.796 0.500
Cd 0.296 0.296 0.000
Cd 0.704 0.704 0.000
Cd 0.796 0.204 0.500
CELL_PARAMETERS angstrom
8.397 0.000 0.000
0.000 8.397 0.000
0.000 0.000 4.700
```

## Properties
**D(E_F)**: 3.528 states/eV/f.u.
**DFT formation energy**: -0.098 eV/atom
**Volume**: 331 Å³/cell
**Symmetry**: P4_2/mnm, No. 136

---

3.
A relaxed structure of Al2In2P, computed with PBE. Values from VASP.

Cell and atoms, written as Quantum ESPRESSO input:
```
&SYSTEM
  ibrav = 0, nat = 10, ntyp = 3
/
ATOMIC_SPECIES
Al 26.98 Al.upf
In 114.82 In.upf
P 30.97 P.upf
ATOMIC_POSITIONS crystal
Al 0.146 0.354 0.000
Al 0.354 0.854 0.000
Al 0.646 0.146 0.000
Al 0.854 0.646 0.000
In 0.178 0.678 0.500
In 0.322 0.178 0.500
In 0.678 0.822 0.500
In 0.822 0.322 0.500
P 0.000 0.000 0.000
P 0.500 0.500 0.000
CELL_PARAMETERS angstrom
6.507 0.000 0.000
0.000 6.507 0.000
0.000 0.000 5.166
```

## Properties
**D(E_F)**: 2.586 states/eV/f.u.
**DFT formation energy**: 0.134 eV/atom
**Volume**: 219 Å³/cell
**Symmetry**: P4/mbm, No. 127

---

4.
A relaxed structure of Ga8Cu2Pd, computed with PBE. Values from VASP.

Cell and atoms, written as Quantum ESPRESSO input:
```
&SYSTEM
  ibrav = 0, nat = 11, ntyp = 3
/
ATOMIC_SPECIES
Ga 69.72 Ga.upf
Cu 63.55 Cu.upf
Pd 106.42 Pd.upf
ATOMIC_POSITIONS crystal
Ga 0.034 0.034 0.241
Ga 0.219 0.219 0.792
Ga 0.346 0.346 0.532
Ga 0.393 0.393 0.086
Ga 0.607 0.607 0.914
Ga 0.654 0.654 0.468
Ga 0.781 0.781 0.208
Ga 0.966 0.966 0.759
Cu 0.178 0.178 0.191
Cu 0.822 0.822 0.809
Pd 0.500 0.500 0.500
CELL_PARAMETERS angstrom
8.636 -1.945 0.000
8.636 1.945 0.000
-1.643 0.000 5.540
```

## Properties
**D(E_F)**: 4.006 states/eV/f.u.
**DFT formation energy**: -0.121 eV/atom
**Volume**: 186 Å³/cell
**Symmetry**: C2/m, No. 12